(1)
VSnAuBr | PBE-GGA | optimized geometry

extended XYZ file:
```
8
Lattice="3.2468 0.0000 0.0000 0.0000 3.3831 0.0000 0.0000 0.0000 17.5495" Properties=species:S:1:pos:R:3 pbc="T T T"
V 0.0000 0.0000 0.0000
V 0.0000 1.6916 8.7747
Sn 0.0000 0.0000 3.3836
Sn 0.0000 1.6916 12.1583
Au 1.6234 0.0000 10.1937
Au 1.6234 1.6916 1.4189
Br 1.6234 0.0000 15.6735
Br 1.6234 1.6916 6.8988
```

Computed properties:
- Distance to the lowest polymorph of the same formula: 0 meV/atom
- SG: Amm2
- Total energy: -0.341 Ry per atom
- Mass density: 7.7 g/cm3

---

(2)
VSnAuBr | PBE-GGA | optimized geometry

extended XYZ file:
```
4
Lattice="3.0855 0.0000 0.0000 0.0000 3.0855 0.0000 0.0000 0.0000 9.2672" Properties=species:S:1:pos:R:3 pbc="T T T"
V 0.0000 0.0000 0.0000
Sn 0.0000 0.0000 5.2702
Au 1.5428 1.5428 7.4648
Br 1.5428 1.5428 1.5151
```

Computed properties:
- Distance to the lowest polymorph of the same formula: 80 meV/atom
- SG: P4mm
- Total energy: -0.335 Ry per atom
- Mass density: 8.4 g/cm3

---

(3)
VSnAuBr | PBE-GGA | optimized geometry

extended XYZ file:
```
8
Lattice="9.2755 0.0000 0.0000 0.0000 3.2355 0.0000 -2.7206 0.0000 5.9723" Properties=species:S:1:pos:R:3 pbc="T T T"
V 0.0000 0.0000 0.0000
V 4.6377 1.6177 0.0000
Sn 0.2844 1.6177 2.5505
Sn 4.9222 0.0000 2.5505
Au 2.3816 0.0000 3.7178
Au 7.0193 1.6177 3.7178
Br 2.6191 0.0000 0.2114
Br 7.2568 1.6177 0.2114
```

Computed properties:
- Distance to the lowest polymorph of the same formula: 168 meV/atom
- SG: Cm
- Total energy: -0.328 Ry per atom
- Mass density: 8.3 g/cm3

---

Raw formation energy: -44.9; -14.1; 20.0 (kJ/mol of formula units)